[1]
Here is a PBEsol-optimized structure of CrMo2Br from Alexandria. Energies are from meta-GGA SCAN.

Cell: 2.942 4.442 5.165 Å, 115.47 106.55 90.00°
Fractional positions:
Mo 0.766 0.266 0.532
Mo 0.980 0.980 0.961
Cr 0.241 0.741 0.482
Br 0.513 0.513 0.026

## Properties
* energy: -103.99 eV per formula unit
* DOS(E_F): 4.464 states/eV/cell
* raw formation energy: 0.905 eV per atom
* mass density: 9.297 g/cm3
* total magnetization: 0.00 Bohr magnetons per cell
* space group: No. 44

=====

[2]
Here is a PBEsol-optimized structure of Al2RePtPb from Alexandria. Energies are from meta-GGA SCAN.

Cell: 4.910 4.910 5.049 Å, 90.00 90.00 90.00°
Site moments in Bohr magnetons follow the coordinates.
Fractional positions:
Re 0.000 0.000 0.500  2.04
Pb 0.000 0.000 0.000  0.00
Al 0.000 0.500 0.000  0.01
Al 0.500 0.000 0.000  0.01
Pt 0.500 0.500 0.500  0.08

## Properties
* energy: -221.90 eV per formula unit
* DOS(E_F): 3.494 states/eV/cell
* ΔH_f (0 K): 2.136 eV/atom
* mass density: 8.763 g/cm3
* total magnetization: 2.57 Bohr magnetons per cell
* space group: No. 123

=====

[3]
Here is a PBEsol-optimized structure of BaZnCd2 from Alexandria. Energies are from meta-GGA SCAN.

Cell: 3.756 4.498 6.699 Å, 90.00 106.25 90.00°
Fractional positions:
Cd 0.985 0.000 0.095
Zn 0.664 0.000 0.454
Ba 0.294 0.500 0.714
Cd 0.557 0.500 0.237

## Properties
* energy: -114.48 eV per formula unit
* DOS(E_F): 2.397 states/eV/cell
* ΔH_f (0 K): -0.147 eV/atom
* mass density: 6.536 g/cm3
* total magnetization: 0.00 Bohr magnetons per cell
* space group: No. 6

=====

[4]
Here is a PBEsol-optimized structure of Mg2TaFe from Alexandria. Energies are from meta-GGA SCAN.

Cell: 2.700 5.198 5.494 Å, 115.18 98.86 101.17°
Site moments in Bohr magnetons follow the coordinates.
Fractional positions:
Mg 0.500 0.500 0.500  -0.02
Mg 0.000 0.000 0.500  -0.02
Fe 0.500 0.000 0.000  2.60
Ta 0.000 0.500 0.000  -0.28

## Properties
* energy: -93.27 eV per formula unit
* DOS(E_F): 2.697 states/eV/cell
* ΔH_f (0 K): 0.346 eV/atom
* mass density: 7.183 g/cm3
* relative energy among the computed polymorphs: 18 meV/atom
* total magnetization: 2.09 Bohr magnetons per cell
* space group: No. 12

=====

[5]
Here is a PBEsol-optimized structure of YZrBe3 from Alexandria. Energies are from meta-GGA SCAN.

Cell: 4.567 4.567 4.567 Å, 90.00 90.00 90.00°
Site moments in Bohr magnetons follow the coordinates.
Fractional positions:
Zr 0.000 0.000 0.000  0.94
Be 0.500 0.000 0.000  0.16
Be 0.000 0.000 0.500  0.16
Y 0.500 0.500 0.500  0.02
Be 0.000 0.500 0.000  0.16

## Properties
* energy: -66.98 eV per formula unit
* DOS(E_F): 3.504 states/eV/cell
* ΔH_f (0 K): 0.924 eV/atom
* mass density: 3.611 g/cm3
* total magnetization: 2.02 Bohr magnetons per cell
* space group: No. 221

=====

[6]
Here is a PBEsol-optimized structure of La2ZrF from Alexandria. Energies are from meta-GGA SCAN.

Cell: 5.171 5.171 5.171 Å, 60.00 60.00 60.00°
Site moments in Bohr magnetons follow the coordinates.
Fractional positions:
La 0.250 0.250 0.250  0.32
F 0.000 0.000 0.000  0.09
La 0.750 0.750 0.750  0.32
Zr 0.500 0.500 0.500  1.39

## Properties
* energy: -121.54 eV per formula unit
* DOS(E_F): 4.543 states/eV/cell
* raw formation energy: -0.273 eV per atom
* mass density: 6.589 g/cm3
* total magnetization: 3.37 Bohr magnetons per cell
* space group: No. 225

=====

[7]
Here is a PBEsol-optimized structure of MgIn2 from Alexandria. Energies are from meta-GGA SCAN.

Cell: 3.443 6.069 7.696 Å, 110.30 90.00 106.48°
Fractional positions:
Mg 0.308 0.616 0.361
Mg 0.692 0.384 0.639
In 0.029 0.059 0.310
In 0.642 0.284 0.032
In 0.971 0.941 0.690
In 0.358 0.716 0.968

## Properties
* energy: -71.92 eV per formula unit
* DOS(E_F): 2.371 states/eV/cell
* ΔH_f (0 K): -0.059 eV/atom
* mass density: 5.867 g/cm3
* total magnetization: 0.00 Bohr magnetons per cell
* space group: No. 12

=====

[8]
Here is a PBEsol-optimized structure of Sc2SeCl2 from Alexandria. Energies are from meta-GGA SCAN.

Cell: 4.634 4.634 5.708 Å, 113.95 113.95 90.00°
Fractional positions:
Sc 0.750 0.250 0.500
Cl 0.348 0.348 0.696
Cl 0.652 0.652 0.304
Sc 0.250 0.750 0.500
Se 0.000 0.000 0.000

## Properties
* energy: -71.90 eV per formula unit
* DOS(E_F): 1.602 states/eV/cell
* raw formation energy: -1.479 eV per atom
* mass density: 3.967 g/cm3
* total magnetization: 0.00 Bohr magnetons per cell
* space group: No. 139